VASP calculation (PBE) on HoTlPd2 after structural relaxation.

Properties
SG	No. 123
total DFT energy (no corrections)	-4.90	eV per atom

Lattice parameters (Å, degrees): 3.7302 4.6589 4.6589 90.00 90.00 90.00
Closest atoms and distances in Å follow each position.
Fractional coordinates of all 4 atoms:
1 Tl 0.5000 0.5000 0.5000  8 Pd 2.98, 4 Ho 3.29
2 Pd 0.0000 0.0000 0.5000  4 Tl 2.98, 4 Ho 2.98, 4 Pd 3.29
3 Pd 0.0000 0.5000 0.0000  4 Tl 2.98, 4 Ho 2.98, 4 Pd 3.29
4 Ho 0.5000 0.0000 0.0000  8 Pd 2.98, 4 Tl 3.29

=====

VASP calculation (PBE) on Tb2TmTlC after structural relaxation.

Properties
SG	No. 123
total DFT energy (no corrections)	-5.52	eV per atom

Lattice parameters (Å, degrees): 4.8400 4.9549 4.9549 90.00 90.00 90.00
Closest atoms and distances in Å follow each position.
Fractional coordinates of all 5 atoms:
1 Tb 0.0000 0.0000 0.5000  2 C 2.48
2 Tb 0.0000 0.5000 0.0000  2 C 2.48
3 C 0.0000 0.0000 0.0000  2 Tm 2.42, 4 Tb 2.48
4 Tl 0.5000 0.5000 0.5000  8 Tb 3.46, 4 Tm 3.50
5 Tm 0.5000 0.0000 0.0000  2 C 2.42

=====

VASP calculation (PBE) on Y2P2Ir after structural relaxation.

Properties
SG	No. 127
total DFT energy (no corrections)	-7.59	eV per atom

Lattice parameters (Å, degrees): 6.5084 6.5084 4.2834 90.00 90.00 90.00
Closest atoms and distances in Å follow each position.
Fractional coordinates of all 10 atoms:
1 Y 0.1748 0.6748 0.5000  6 P 2.77-2.95
2 Y 0.3252 0.1748 0.5000  6 P 2.77-2.95
3 Y 0.6748 0.8252 0.5000  6 P 2.77-2.95
4 Y 0.8252 0.3252 0.5000  6 P 2.77-2.95
5 Ir 0.0000 0.0000 0.0000  4 P 2.53
6 Ir 0.5000 0.5000 0.0000  4 P 2.53
7 P 0.3654 0.8654 0.0000  1 P 2.48, 2 Ir 2.53, 2 Y 2.77
8 P 0.6346 0.1346 0.0000  1 P 2.48, 2 Ir 2.53, 2 Y 2.77
9 P 0.1346 0.3654 0.0000  1 P 2.48, 2 Ir 2.53, 2 Y 2.77
10 P 0.8654 0.6346 0.0000  1 P 2.48, 2 Ir 2.53, 2 Y 2.77

=====

VASP calculation (PBE) on Mg2SiAg2 after structural relaxation.

Properties
SG	No. 139
uncorrected formation energy	341	meV/atom

Lattice parameters (Å, degrees): 7.1508 7.1508 7.1508 148.06 148.06 45.79
Closest atoms and distances in Å follow each position.
Fractional coordinates of all 5 atoms:
1 Ag 0.6016 0.6016 0.0000  1 Ag 2.68, 4 Mg 2.77
2 Ag 0.3984 0.3984 0.0000  1 Ag 2.68, 4 Mg 2.77
3 Si 0.0000 0.0000 0.0000  8 Ag 3.09
4 Mg 0.2500 0.7500 0.5000  4 Ag 2.77, 4 Mg 2.78
5 Mg 0.7500 0.2500 0.5000  4 Ag 2.77, 4 Mg 2.78

=====

Question: Number 1 is which compound?
Answer: HoTlPd2